No. 1
{
  "formula": "Y2TcOs",
  "functional": "PBE",
  "state": "relaxed",
  "lattice_angstrom": [[-2.023, 2.023, 4.980], [2.023, -2.023, 4.980], [2.023, 2.023, -4.980]],
  "species": ["Y", "Y", "Tc", "Os"],
  "fractional_positions": [[0.000, 0.000, 0.000], [0.750, 0.250, 0.500], [0.500, 0.500, 0.000], [0.250, 0.750, 0.500]],
  "formation_energy_mev_per_atom": 309,
  "spacegroup": "I-4m2",
  "dos_ef_per_ev_fu": 4.3
}

No. 2
{
  "formula": "Y2TcOs",
  "functional": "PBE",
  "state": "relaxed",
  "lattice_angstrom": [[-1.742, 2.554, 4.472], [1.742, -2.554, 4.472], [1.742, 2.554, -4.472]],
  "species": ["Y", "Y", "Tc", "Os"],
  "fractional_positions": [[0.249, 0.249, 0.000], [0.751, 0.751, 0.000], [0.500, 0.000, 0.500], [0.000, 0.500, 0.500]],
  "formation_energy_mev_per_atom": 320,
  "spacegroup": "Immm",
  "dos_ef_per_ev_fu": 3.5
}